1.
VASP calculation (GGA-PBE) on crystalline Sc3CdGe at its relaxed geometry.

Unit cell a=5.078 b=5.078 c=5.078 alpha=90.00 beta=90.00 gamma=90.00
Space group Pm-3m (No. 221)
Symmetry-distinct sites (fractional):
Sc (0.000, 0.000, 0.500)
Cd (0.500, 0.500, 0.500)
Ge (0.000, 0.000, 0.000)

**Energy relative to the elements**: -0.110 eV per atom


2.
VASP calculation (GGA-PBE) on crystalline Sc2CdGe2 at its relaxed geometry.

Unit cell a=3.777 b=3.777 c=15.212 alpha=90.00 beta=90.00 gamma=90.00
Space group I4/mmm (No. 139)
Symmetry-distinct sites (fractional):
Sc (0.000, 0.000, 0.111)
Cd (0.000, 0.000, 0.500)
Ge (0.000, 0.500, 0.250)

**Energy relative to the elements**: -0.283 eV per atom


3.
VASP calculation (GGA-PBE) on crystalline Sc2CdGe at its relaxed geometry.

Unit cell a=7.585 b=7.585 c=6.370 alpha=90.00 beta=90.00 gamma=90.00
Space group I-42d (No. 122)
Symmetry-distinct sites (fractional):
Sc (0.224, 0.750, 0.125)
Cd (0.000, 0.000, 0.500)
Ge (0.000, 0.000, 0.000)

**Energy relative to the elements**: -0.152 eV per atom


4.
VASP calculation (GGA-PBE) on crystalline ScCdGe3 at its relaxed geometry.

Unit cell a=5.085 b=5.085 c=5.085 alpha=90.00 beta=90.00 gamma=90.00
Space group Pm-3m (No. 221)
Symmetry-distinct sites (fractional):
Sc (0.000, 0.000, 0.000)
Cd (0.500, 0.500, 0.500)
Ge (0.000, 0.500, 0.500)

**Energy relative to the elements**: 0.694 eV per atom
**Distance to the lowest polymorph of the same formula**: 223 meV per atom


no.,ρ (kg/m³)
1,4058
2,5320
3,4983
4,4740